--- i ---
# NaPt3S

A relaxed structure of NaPt3S (PBE, Alexandria).

Calculated density: 11.18 g/cm3
Space group: Pm-3m (221)

Unit cell a=4.5642 b=4.5642 c=4.5642 alpha=90.00 beta=90.00 gamma=90.00
With the nearest neighbours (Å) after each atom.
Positions (direct):
Na1 0.0000 0.0000 0.0000  12 Pt 3.23
Pt1 0.0000 0.5000 0.5000  2 S 2.28
Pt2 0.5000 0.0000 0.5000  2 S 2.28
Pt3 0.5000 0.5000 0.0000  2 S 2.28
S1 0.5000 0.5000 0.5000  6 Pt 2.28

--- ii ---
# NaPt3S

A relaxed structure of NaPt3S (PBE, Alexandria).

Calculated density: 10.47 g/cm3
Space group: Pm-3m (221)

Unit cell a=4.6655 b=4.6655 c=4.6655 alpha=90.00 beta=90.00 gamma=90.00
With the nearest neighbours (Å) after each atom.
Positions (direct):
Na1 0.0000 0.0000 0.0000  6 Pt 2.33
Pt1 0.0000 0.0000 0.5000  2 Na 2.33
Pt2 0.0000 0.5000 0.0000  2 Na 2.33
Pt3 0.5000 0.0000 0.0000  2 Na 2.33
S1 0.5000 0.5000 0.5000  12 Pt 3.30

If we sort the structures by their calculated energies, the order from most to least stable is i, ii.

--- i ---
# NaPtS3

A relaxed structure of NaPtS3 (PBE, Alexandria).

Calculated density: 4.69 g/cm3
Space group: Pm-3m (221)

Unit cell a=4.8103 b=4.8103 c=4.8103 alpha=90.00 beta=90.00 gamma=90.00
With the nearest neighbours (Å) after each atom.
Positions (direct):
Na1 0.0000 0.0000 0.0000  12 S 3.40
Pt1 0.5000 0.5000 0.5000  6 S 2.41
S1 0.0000 0.5000 0.5000  2 Pt 2.41
S2 0.5000 0.0000 0.5000  2 Pt 2.41
S3 0.5000 0.5000 0.0000  2 Pt 2.41

--- ii ---
# NaPtS3

A relaxed structure of NaPtS3 (PBE, Alexandria).

Calculated density: 4.91 g/cm3
Space group: Pm-3m (221)

Unit cell a=4.7355 b=4.7355 c=4.7355 alpha=90.00 beta=90.00 gamma=90.00
With the nearest neighbours (Å) after each atom.
Positions (direct):
Na1 0.0000 0.0000 0.0000  6 S 2.37
Pt1 0.5000 0.5000 0.5000  12 S 3.35
S1 0.0000 0.0000 0.5000  2 Na 2.37
S2 0.0000 0.5000 0.0000  2 Na 2.37
S3 0.5000 0.0000 0.0000  2 Na 2.37

If we sort the structures by their calculated energies, the order from most to least stable is i, ii.

--- i ---
# NaSb2Pt2

A relaxed structure of NaSb2Pt2 (PBE, Alexandria).

Calculated density: 9.16 g/cm3
Space group: I4/mmm (139)

Unit cell a=6.0114 b=6.0114 c=6.0114 alpha=131.57 beta=131.57 gamma=70.91
With the nearest neighbours (Å) after each atom.
Positions (direct):
Na1 0.0000 0.0000 0.0000  8 Sb 3.47, 10 Pt 3.54-3.74
Sb1 0.2500 0.7500 0.5000  4 Pt 2.70
Sb2 0.7500 0.2500 0.5000  4 Pt 2.70
Pt1 0.3613 0.3613 0.0000  4 Sb 2.70, 1 Pt 2.72
Pt2 0.6387 0.6387 0.0000  4 Sb 2.70, 1 Pt 2.72

--- ii ---
# NaSb2Pt2

A relaxed structure of NaSb2Pt2 (PBE, Alexandria).

Calculated density: 10.39 g/cm3
Space group: P4/mbm (127)

Unit cell a=7.7457 b=7.7457 c=3.4998 alpha=90.00 beta=90.00 gamma=90.00
With the nearest neighbours (Å) after each atom.
Positions (direct):
Na1 0.0000 0.0000 0.0000  4 Pt 3.03, 8 Sb 3.38
Na2 0.5000 0.5000 0.0000  4 Pt 3.03, 8 Sb 3.38
Sb1 0.1652 0.3348 0.5000  6 Pt 2.83-2.90
Sb2 0.3348 0.8348 0.5000  6 Pt 2.83-2.90
Sb3 0.6652 0.1652 0.5000  6 Pt 2.83-2.90
Sb4 0.8348 0.6652 0.5000  6 Pt 2.83-2.90
Pt1 0.1314 0.6314 0.0000  6 Sb 2.83-2.90, 1 Pt 2.88, 2 Na 3.03
Pt2 0.3686 0.1314 0.0000  6 Sb 2.83-2.90, 1 Pt 2.88, 2 Na 3.03
Pt3 0.6314 0.8686 0.0000  6 Sb 2.83-2.90, 1 Pt 2.88, 2 Na 3.03
Pt4 0.8686 0.3686 0.0000  6 Sb 2.83-2.90, 1 Pt 2.88, 2 Na 3.03

--- iii ---
# NaSb2Pt2

A relaxed structure of NaSb2Pt2 (PBE, Alexandria).

Calculated density: 10.24 g/cm3
Space group: P4/mbm (127)

Unit cell a=8.1705 b=8.1705 c=3.1917 alpha=90.00 beta=90.00 gamma=90.00
With the nearest neighbours (Å) after each atom.
Positions (direct):
Na1 0.0000 0.0000 0.0000  4 Sb 3.12, 2 Na 3.19
Na2 0.5000 0.5000 0.0000  4 Sb 3.12, 2 Na 3.19
Sb1 0.1471 0.3529 0.0000  6 Pt 2.86-2.89, 2 Na 3.12, 2 Sb 3.19
Sb2 0.3529 0.8529 0.0000  6 Pt 2.86-2.89, 2 Na 3.12, 2 Sb 3.19
Sb3 0.6471 0.1471 0.0000  6 Pt 2.86-2.89, 2 Na 3.12, 2 Sb 3.19
Sb4 0.8529 0.6471 0.0000  6 Pt 2.86-2.89, 2 Na 3.12, 2 Sb 3.19
Pt1 0.1477 0.6477 0.5000  6 Sb 2.86-2.89, 2 Pt 3.19
Pt2 0.3523 0.1477 0.5000  6 Sb 2.86-2.89, 2 Pt 3.19
Pt3 0.6477 0.8523 0.5000  6 Sb 2.86-2.89, 2 Pt 3.19
Pt4 0.8523 0.3523 0.5000  6 Sb 2.86-2.89, 2 Pt 3.19

--- iv ---
# NaSb2Pt2

A relaxed structure of NaSb2Pt2 (PBE, Alexandria).

Calculated density: 9.12 g/cm3
Space group: C2/m (12)

Unit cell a=5.8482 b=5.8482 c=5.1367 alpha=107.03 beta=107.03 gamma=45.85
With the nearest neighbours (Å) after each atom.
Positions (direct):
Na1 0.0000 0.0000 0.0000  6 Pt 3.10-3.40
Sb1 0.3486 0.3486 0.4087  4 Pt 2.66-2.80
Sb2 0.6514 0.6514 0.5913  4 Pt 2.66-2.80
Pt1 0.2525 0.2525 0.8337  4 Sb 2.66-2.80, 2 Pt 2.86
Pt2 0.7475 0.7475 0.1663  4 Sb 2.66-2.80, 2 Pt 2.86

If we sort the structures by their calculated energies, the order from most to least stable is iv, i, ii, iii.

--- i ---
# NaSb2Pt

A relaxed structure of NaSb2Pt (PBE, Alexandria).

Calculated density: 7.85 g/cm3
Space group: P2_1/m (11)

Unit cell a=4.1224 b=7.7784 c=6.4243 alpha=90.00 beta=108.61 gamma=90.00
With the nearest neighbours (Å) after each atom.
Positions (direct):
Na1 0.0474 0.2500 0.0967  1 Pt 3.11, 4 Sb 3.26
Na2 0.9526 0.7500 0.9033  1 Pt 3.11, 4 Sb 3.26
Sb1 0.3526 0.0342 0.7022  3 Pt 2.75-2.82
Sb2 0.3526 0.4658 0.7022  3 Pt 2.75-2.82
Sb3 0.6474 0.5342 0.2978  3 Pt 2.75-2.82
Sb4 0.6474 0.9658 0.2978  3 Pt 2.75-2.82
Pt1 0.2045 0.7500 0.4138  6 Sb 2.75-2.82
Pt2 0.7955 0.2500 0.5862  6 Sb 2.75-2.82

--- ii ---
# NaSb2Pt

A relaxed structure of NaSb2Pt (PBE, Alexandria).

Calculated density: 6.07 g/cm3
Space group: R-3m (166)

Unit cell a=9.1183 b=9.1183 c=9.1183 alpha=25.77 beta=25.77 gamma=25.77
With the nearest neighbours (Å) after each atom.
Positions (direct):
Na1 0.0000 0.0000 0.0000  2 Sb 3.08
Sb1 0.1165 0.1165 0.1165  3 Pt 2.70
Sb2 0.8835 0.8835 0.8835  3 Pt 2.70
Pt1 0.5000 0.5000 0.5000  6 Sb 2.70

If we sort the structures by their calculated energies, the order from most to least stable is i, ii.

--- i ---
# NaSb2Pt

A relaxed structure of NaSb2Pt (PBE, Alexandria).

Calculated density: 7.42 g/cm3
Space group: I-42d (122)

Unit cell a=6.6349 b=6.6349 c=6.6349 alpha=101.03 beta=101.03 gamma=128.13
With the nearest neighbours (Å) after each atom.
Positions (direct):
Na1 0.0000 0.0000 0.0000  2 Pt 2.90
Na2 0.7500 0.2500 0.5000  2 Pt 2.90
Sb1 0.2026 0.1250 0.5776  2 Pt 2.66
Sb2 0.3750 0.7974 0.9224  2 Pt 2.66
Sb3 0.5474 0.6250 0.4224  2 Pt 2.66
Sb4 0.8750 0.4526 0.0776  2 Pt 2.66
Pt1 0.2500 0.7500 0.5000  4 Sb 2.66, 2 Na 2.90
Pt2 0.5000 0.5000 0.0000  4 Sb 2.66, 2 Na 2.90

--- ii ---
# NaSb2Pt

A relaxed structure of NaSb2Pt (PBE, Alexandria).

Calculated density: 8.82 g/cm3
Space group: Fm-3m (225)

Unit cell a=4.9722 b=4.9722 c=4.9722 alpha=60.00 beta=60.00 gamma=60.00
With the nearest neighbours (Å) after each atom.
Positions (direct):
Na1 0.0000 0.0000 0.0000  8 Sb 3.04
Sb1 0.2500 0.2500 0.2500  4 Pt 3.04, 4 Na 3.04
Sb2 0.7500 0.7500 0.7500  4 Na 3.04, 4 Pt 3.04
Pt1 0.5000 0.5000 0.5000  8 Sb 3.04

If we sort the structures by their calculated energies, the order from most to least stable is i, ii.

--- i ---
# NaSb2Pt3

A relaxed structure of NaSb2Pt3 (PBE, Alexandria).

Calculated density: 11.39 g/cm3
Space group: P-1 (2)

Unit cell a=4.2503 b=9.1255 c=10.0883 alpha=78.59 beta=89.99 gamma=76.59
With the nearest neighbours (Å) after each atom.
Positions (direct):
Na1 0.0000 0.0000 0.0000  6 Pt 3.06-3.12, 6 Sb 3.30-3.35
Na2 0.1804 0.6393 0.7210  5 Pt 3.19-3.39, 6 Sb 3.27-3.43
Na3 0.8196 0.3607 0.2790  5 Pt 3.19-3.39, 6 Sb 3.27-3.43
Sb1 0.1860 0.6280 0.1328  6 Pt 2.68-2.76
Sb2 0.3617 0.2762 0.5505  5 Pt 2.60-2.72
Sb3 0.4496 0.1008 0.2231  5 Pt 2.65-2.76
Sb4 0.5504 0.8992 0.7769  5 Pt 2.65-2.76
Sb5 0.6383 0.7238 0.4495  5 Pt 2.60-2.72
Sb6 0.8140 0.3720 0.8672  6 Pt 2.68-2.76
Pt1 0.0344 0.9308 0.3155  4 Sb 2.66-2.95, 4 Pt 2.90-2.97
Pt2 0.2180 0.5640 0.4047  4 Sb 2.64-2.69, 2 Pt 2.93-2.94
Pt3 0.3180 0.3638 0.0427  4 Sb 2.65-2.76, 1 Pt 2.91
Pt4 0.4032 0.1941 0.8249  4 Sb 2.72-2.76, 3 Pt 2.90-2.91
Pt5 0.5000 0.0000 0.5000  4 Sb 2.60-2.75
Pt6 0.5968 0.8059 0.1751  4 Sb 2.72-2.76, 3 Pt 2.90-2.91
Pt7 0.6820 0.6362 0.9573  4 Sb 2.65-2.76, 1 Pt 2.91
Pt8 0.7820 0.4360 0.5953  4 Sb 2.64-2.69, 2 Pt 2.93-2.94
Pt9 0.9656 0.0692 0.6845  4 Sb 2.66-2.95, 4 Pt 2.90-2.97

--- ii ---
# NaSb2Pt3

A relaxed structure of NaSb2Pt3 (PBE, Alexandria).

Calculated density: 10.50 g/cm3
Space group: C2/m (12)

Unit cell a=8.3612 b=8.3612 c=8.7335 alpha=110.53 beta=110.53 gamma=28.25
With the nearest neighbours (Å) after each atom.
Positions (direct):
Na1 0.1414 0.1414 0.0074  5 Sb 3.15-3.50, 2 Pt 3.41
Na2 0.8586 0.8586 0.9926  5 Sb 3.15-3.50, 2 Pt 3.41
Sb1 0.1969 0.1969 0.6973  6 Pt 2.70-2.84
Sb2 0.4601 0.4601 0.8007  4 Pt 2.63-2.67
Sb3 0.5399 0.5399 0.1993  4 Pt 2.63-2.67
Sb4 0.8031 0.8031 0.3027  6 Pt 2.70-2.84
Pt1 0.0539 0.0539 0.4010  3 Sb 2.65-2.78, 5 Pt 2.87-2.92
Pt2 0.3121 0.3121 0.5345  4 Sb 2.67-2.84, 5 Pt 2.77-2.88
Pt3 0.4161 0.4161 0.3279  3 Sb 2.63-2.70, 3 Pt 2.88-2.92
Pt4 0.5839 0.5839 0.6721  3 Sb 2.63-2.70, 3 Pt 2.88-2.92
Pt5 0.6879 0.6879 0.4655  4 Sb 2.67-2.84, 5 Pt 2.77-2.88
Pt6 0.9461 0.9461 0.5990  3 Sb 2.65-2.78, 5 Pt 2.87-2.92

If we sort the structures by their calculated energies, the order from most to least stable is i, ii.

--- i ---
# NaSbTe2Pt

A relaxed structure of NaSbTe2Pt (PBE, Alexandria).

Calculated density: 6.73 g/cm3
Space group: P4/mmm (123)

Unit cell a=5.2950 b=5.2950 c=5.2393 alpha=90.00 beta=90.00 gamma=90.00
With the nearest neighbours (Å) after each atom.
Positions (direct):
Na1 0.0000 0.0000 0.0000  2 Sb 2.62, 4 Te 2.65
Sb1 0.0000 0.0000 0.5000  2 Na 2.62
Te1 0.0000 0.5000 0.0000  2 Na 2.65
Te2 0.5000 0.0000 0.0000  2 Na 2.65
Pt1 0.5000 0.5000 0.5000  8 Te 3.72, 4 Sb 3.74

--- ii ---
# NaSbTe2Pt

A relaxed structure of NaSbTe2Pt (PBE, Alexandria).

Calculated density: 6.15 g/cm3
Space group: P4/mmm (123)

Unit cell a=5.6299 b=5.6299 c=5.0693 alpha=90.00 beta=90.00 gamma=90.00
With the nearest neighbours (Å) after each atom.
Positions (direct):
Na1 0.0000 0.0000 0.0000  8 Te 3.79, 4 Sb 3.98
Sb1 0.5000 0.5000 0.0000  2 Pt 2.53
Te1 0.0000 0.5000 0.5000  2 Pt 2.81
Te2 0.5000 0.0000 0.5000  2 Pt 2.81
Pt1 0.5000 0.5000 0.5000  2 Sb 2.53, 4 Te 2.81

If we sort the structures by their calculated energies, the order from most to least stable is ii, i.

--- i ---
# NaSc2Pt2

A relaxed structure of NaSc2Pt2 (PBE, Alexandria).

Calculated density: 7.43 g/cm3
Space group: I4/mmm (139)

Unit cell a=6.4042 b=6.4042 c=6.4042 alpha=138.89 beta=138.89 gamma=59.54
With the nearest neighbours (Å) after each atom.
Positions (direct):
Na1 0.0000 0.0000 0.0000  8 Pt 3.44, 8 Sc 3.58
Sc1 0.2500 0.7500 0.5000  4 Pt 2.69
Sc2 0.7500 0.2500 0.5000  4 Pt 2.69
Pt1 0.3821 0.3821 0.0000  1 Pt 2.62, 4 Sc 2.69
Pt2 0.6179 0.6179 0.0000  1 Pt 2.62, 4 Sc 2.69

--- ii ---
# NaSc2Pt2

A relaxed structure of NaSc2Pt2 (PBE, Alexandria).

Calculated density: 8.51 g/cm3
Space group: P4/mbm (127)

Unit cell a=8.0598 b=8.0598 c=3.0220 alpha=90.00 beta=90.00 gamma=90.00
With the nearest neighbours (Å) after each atom.
Positions (direct):
Na1 0.0000 0.0000 0.0000  2 Na 3.02, 4 Sc 3.10
Na2 0.5000 0.5000 0.0000  2 Na 3.02, 4 Sc 3.10
Sc1 0.1438 0.3562 0.0000  6 Pt 2.80-2.81, 2 Sc 3.02, 2 Na 3.10
Sc2 0.3562 0.8562 0.0000  6 Pt 2.80-2.81, 2 Sc 3.02, 2 Na 3.10
Sc3 0.6438 0.1438 0.0000  6 Pt 2.80-2.81, 2 Sc 3.02, 2 Na 3.10
Sc4 0.8562 0.6438 0.0000  6 Pt 2.80-2.81, 2 Sc 3.02, 2 Na 3.10
Pt1 0.1484 0.6484 0.5000  6 Sc 2.80-2.81, 2 Pt 3.02
Pt2 0.3516 0.1484 0.5000  6 Sc 2.80-2.81, 2 Pt 3.02
Pt3 0.6484 0.8516 0.5000  6 Sc 2.80-2.81, 2 Pt 3.02
Pt4 0.8516 0.3516 0.5000  6 Sc 2.80-2.81, 2 Pt 3.02

If we sort the structures by their calculated energies, the order from most to least stable is ii, i.